Crystalline SrLa3B at its relaxed geometry. Source: the Alexandria database, functional PBE.

Structure (extended XYZ):
```
5
Lattice="5.5833 0.0000 0.0000 0.0000 5.5833 0.0000 0.0000 0.0000 5.5833" Properties=species:S:1:pos:R:3 pbc="T T T"
Sr 0.0000 0.0000 0.0000
La 0.0000 2.7917 2.7917
La 2.7917 0.0000 2.7917
La 2.7917 2.7917 0.0000
B 2.7917 2.7917 2.7917
```

Computed properties:
As for the energy above the most stable polymorph in this dataset: 0 meV/atom.